Arrangement 1

This record from Alexandria describes La6Nd4Sm after structural relaxation. The functional is PBE-GGA.

extended XYZ file:
```
11
Lattice="-3.017 3.678 5.244 -5.082 -4.903 0.516 8.515 -3.446 2.537" Properties=species:S:1:pos:R:3 pbc="T T T"
La 1.318 -2.812 4.529
La -1.509 1.839 2.622
La 4.364 -2.351 2.362
La -2.541 -2.452 0.258
La -2.812 -3.704 3.962
La -2.036 -0.476 5.740
Nd 2.828 -6.052 2.690
Nd -5.795 -1.884 5.950
Nd 4.203 -0.338 5.838
Nd -0.402 -1.069 2.115
Sm -4.049 -0.613 2.880
```

Computed properties:
- Space group: I-42m (121)
- Size of the total moment: 0.00 μB/f.u.
- Crystal system: tetragonal

***

Arrangement 2

This record from Alexandria describes La6Nd4Sm after structural relaxation. The functional is PBE-GGA.

extended XYZ file:
```
22
Lattice="6.063 0.000 0.000 -3.032 4.960 0.000 0.000 0.000 26.407" Properties=species:S:1:pos:R:3 pbc="T T T"
La 0.000 2.039 23.698
La 3.032 0.000 0.000
La 3.032 3.816 18.041
La 0.000 1.144 4.837
La 3.032 2.920 10.494
La 3.032 2.920 2.709
La 3.032 0.000 13.204
La 3.032 3.816 21.570
La 0.000 2.039 15.913
La 3.032 0.581 19.805
La 0.000 1.144 8.366
La 0.000 4.379 6.602
Nd 0.000 4.421 3.275
Nd 3.032 3.495 14.387
Nd 0.000 1.465 1.184
Nd 3.032 3.495 25.223
Nd 3.032 0.538 23.132
Nd 0.000 4.421 9.929
Nd 0.000 1.465 12.020
Nd 3.032 0.538 16.478
Sm 3.032 2.806 6.602
Sm 0.000 2.154 19.805
```

Computed properties:
- Space group: Cmcm (63)
- Size of the total moment: 0.00 μB/f.u.
- Crystal system: orthorhombic

***

Relative calculated energies, zero for the most stable structure, unit kJ/mol of atoms: arrangement 1 16.1; arrangement 2 0.0.

***

Arrangement 1

This record from Alexandria describes La3NdSm4 after structural relaxation. The functional is PBE-GGA.

extended XYZ file:
```
8
Lattice="3.433 0.000 0.890 1.204 8.738 2.423 -0.517 -1.080 9.068" Properties=species:S:1:pos:R:3 pbc="T T T"
La 1.348 5.813 8.938
La 0.343 3.829 5.746
La 2.772 1.844 3.443
Sm 2.125 7.319 5.940
Sm 2.860 5.270 3.103
Sm 1.995 0.339 6.441
Sm 1.260 2.387 9.278
Nd 1.717 0.000 0.445
```

Computed properties:
- Space group: Immm (71)
- Size of the total moment: 0.00 μB/f.u.
- Crystal system: orthorhombic

***

Arrangement 2

This record from Alexandria describes La3NdSm4 after structural relaxation. The functional is PBE-GGA.

extended XYZ file:
```
16
Lattice="6.445 0.000 0.000 0.000 7.437 0.000 0.000 0.000 11.882" Properties=species:S:1:pos:R:3 pbc="T T T"
La 1.492 0.928 5.941
La 5.789 4.638 8.891
La 4.715 6.509 0.000
La 5.789 4.638 2.991
La 2.567 2.799 2.950
La 2.567 2.799 8.932
Sm 4.719 2.768 0.000
Sm 1.487 0.932 0.000
Sm 5.786 0.922 2.965
Sm 1.497 4.669 5.941
Sm 2.564 6.515 2.976
Sm 5.786 0.922 8.917
Sm 2.564 6.515 8.907
Sm 4.710 6.505 5.941
Nd 4.695 2.776 5.941
Nd 1.473 4.661 0.000
```

Computed properties:
- Space group: Pmn2_1 (31)
- Size of the total moment: 0.00 μB/f.u.
- Crystal system: orthorhombic

***

Relative calculated energies, zero for the most stable structure, unit kJ/mol of atoms: arrangement 1 7.4; arrangement 2 0.0.

***

Arrangement 1

This record from Alexandria describes LaNd2Sm7 after structural relaxation. The functional is PBE-GGA.

extended XYZ file:
```
10
Lattice="5.626 0.000 0.000 0.000 9.335 -0.547 0.000 -4.699 8.085" Properties=species:S:1:pos:R:3 pbc="T T T"
Nd 2.813 -0.527 5.519
Nd 2.813 5.163 2.019
Sm 2.813 2.318 3.769
Sm 0.000 6.187 1.389
Sm 2.813 -0.780 2.342
Sm 2.813 2.442 0.361
Sm 2.813 2.193 7.177
Sm 2.813 5.416 5.196
Sm 0.000 -1.552 6.149
La 0.000 0.000 0.000
```

Computed properties:
- Space group: Cmmm (65)
- Size of the total moment: 0.00 μB/f.u.
- Crystal system: orthorhombic

***

Arrangement 2

This record from Alexandria describes LaNd2Sm7 after structural relaxation. The functional is PBE-GGA.

extended XYZ file:
```
10
Lattice="6.156 2.940 -0.449 3.255 7.988 -3.425 -0.847 -0.126 8.782" Properties=species:S:1:pos:R:3 pbc="T T T"
Sm 4.705 5.464 -1.937
Sm 6.889 8.553 -2.196
Sm 4.721 6.615 3.474
Sm 0.933 0.889 3.692
Sm 7.631 9.912 1.217
Sm 3.843 4.186 1.434
Sm 1.674 2.248 7.104
La 0.000 0.000 0.000
Nd 6.788 6.330 0.688
Nd 1.776 4.472 4.220
```

Computed properties:
- Space group: P-1 (2)
- Size of the total moment: 0.00 μB/f.u.
- Crystal system: triclinic

***

Relative calculated energies, zero for the most stable structure, unit kJ/mol of atoms: arrangement 1 45.8; arrangement 2 0.0.

***

Arrangement 1

This record from Alexandria describes LaNd3Sm4 after structural relaxation. The functional is PBE-GGA.

extended XYZ file:
```
16
Lattice="-1.852 -5.832 1.896 3.583 0.946 6.408 -9.793 4.666 4.787" Properties=species:S:1:pos:R:3 pbc="T T T"
La -3.548 0.118 7.312
La -0.474 -5.367 4.263
Sm 1.324 -4.890 7.476
Sm -5.344 -0.353 4.097
Sm -0.448 -2.683 1.698
Sm -2.288 0.421 2.274
Sm -7.169 2.747 4.660
Sm -3.569 -2.552 9.872
Sm -0.501 -1.790 8.039
Sm -5.413 0.550 10.440
Nd -5.375 -3.030 6.644
Nd -2.309 -2.262 4.816
Nd 1.357 -2.208 4.928
Nd -7.211 0.074 7.212
Nd -5.370 3.227 7.887
Nd -0.480 0.897 5.496
```

Computed properties:
- Space group: Pmn2_1 (31)
- Size of the total moment: 0.00 μB/f.u.
- Crystal system: orthorhombic

***

Arrangement 2

This record from Alexandria describes LaNd3Sm4 after structural relaxation. The functional is PBE-GGA.

extended XYZ file:
```
16
Lattice="7.326 0.000 0.000 0.000 7.329 0.000 0.000 0.000 10.375" Properties=species:S:1:pos:R:3 pbc="T T T"
Sm 5.503 0.444 2.591
Sm 1.823 4.109 2.597
Sm 1.823 4.109 7.779
Sm 3.662 2.277 0.000
Sm 3.664 5.941 5.188
Sm 7.324 2.276 5.188
Sm 0.002 5.940 0.000
Sm 5.503 0.444 7.784
Nd 5.500 4.109 7.783
Nd 1.826 0.444 7.780
Nd 0.002 2.277 0.000
Nd 7.324 5.941 5.188
Nd 1.826 0.444 2.596
Nd 5.500 4.109 2.592
La 3.662 5.941 0.000
La 3.665 2.276 5.188
```

Computed properties:
- Space group: Pmna (53)
- Size of the total moment: 0.00 μB/f.u.
- Crystal system: orthorhombic

***

Relative calculated energies, zero for the most stable structure, unit kJ/mol of atoms: arrangement 1 1.7; arrangement 2 0.0.